1.
DFT (PBE-GGA) results for a relaxed structure of SrY2Co.

Cell: 9.865 9.865 9.865 Å, 23.27 23.27 23.27°
Fractional positions:
Sr 0.000 0.000 0.000
Y 0.215 0.215 0.215
Y 0.785 0.785 0.785
Co 0.500 0.500 0.500

Results
**SG**: R-3m, No. 166
**Spin magnetization**: 0.00 μB per formula unit
**ΔE to the lowest computed polymorph**: 0.000 eV/atom
**DOS at the Fermi energy**: 1.096 states/eV/atom
**Energy of formation**: 0.0 eV per formula unit
**Crystal system**: trigonal

2.
DFT (PBE-GGA) results for a relaxed structure of ZnB3H12.

Cell: 8.284 8.284 8.284 Å, 49.85 49.85 49.85°
Fractional positions:
Zn 0.000 0.000 0.000
Zn 0.500 0.500 0.500
B 0.049 0.663 0.282
B 0.163 0.549 0.782
B 0.282 0.049 0.663
B 0.549 0.782 0.163
B 0.663 0.282 0.049
B 0.782 0.163 0.549
H 0.020 0.752 0.742
H 0.028 0.698 0.124
H 0.068 0.813 0.263
H 0.115 0.394 0.961
H 0.124 0.028 0.698
H 0.198 0.528 0.624
H 0.242 0.252 0.520
H 0.252 0.520 0.242
H 0.263 0.068 0.813
H 0.313 0.568 0.763
H 0.394 0.961 0.115
H 0.461 0.894 0.615
H 0.520 0.242 0.252
H 0.528 0.624 0.198
H 0.568 0.763 0.313
H 0.615 0.461 0.894
H 0.624 0.198 0.528
H 0.698 0.124 0.028
H 0.742 0.020 0.752
H 0.752 0.742 0.020
H 0.763 0.313 0.568
H 0.813 0.263 0.068
H 0.894 0.615 0.461
H 0.961 0.115 0.394

Results
**SG**: R3c, No. 161
**Spin magnetization**: 1.01 μB per formula unit
**DOS at the Fermi energy**: 0.107 states/eV/atom
**E**: -3.73 eV per atom
**Crystal system**: trigonal

3.
DFT (PBE-GGA) results for a relaxed structure of RbTlSe2.

Cell: 7.041 7.041 7.041 Å, 105.66 105.66 117.41°
Fractional positions:
Rb 0.250 0.250 0.000
Rb 0.750 0.750 0.000
Tl 0.250 0.750 0.500
Tl 0.750 0.250 0.500
Se 0.168 0.668 0.837
Se 0.332 0.168 0.500
Se 0.668 0.832 0.500
Se 0.832 0.332 0.163

Results
**SG**: I4/mcm, No. 140
**Spin magnetization**: 0.00 μB per formula unit
**Formation energy from raw total energies**: -0.651 eV per atom
**ΔE to the lowest computed polymorph**: 0.016 eV/atom
**DOS at the Fermi energy**: 0.000 states/eV/atom
**Crystal system**: tetragonal

4.
DFT (PBE-GGA) results for a relaxed structure of SrCuOs2.

Cell: 9.792 9.792 9.792 Å, 16.78 16.78 16.78°
Fractional positions:
Sr 0.000 0.000 0.000
Cu 0.240 0.240 0.240
Os 0.500 0.500 0.500
Os 0.763 0.763 0.763

Results
**SG**: R3m, No. 160
**Spin magnetization**: 0.00 μB per formula unit
**ΔE to the lowest computed polymorph**: 0.708 eV/atom
**DOS at the Fermi energy**: 1.596 states/eV/atom
**Energy of formation**: 3.5 eV per formula unit
**Crystal system**: trigonal

5.
DFT (PBE-GGA) results for a relaxed structure of NiIr2W.

Cell: 4.742 4.742 4.742 Å, 132.82 132.82 68.94°
Fractional positions:
Ni 0.000 0.000 0.000
Ir 0.250 0.750 0.500
Ir 0.500 0.500 0.000
W 0.750 0.250 0.500

Results
**SG**: I-4m2, No. 119
**Spin magnetization**: 0.00 μB per formula unit
**ΔE to the lowest computed polymorph**: 0.110 eV/atom
**DOS at the Fermi energy**: 1.398 states/eV/atom
**Energy of formation**: -0.5 eV per formula unit
**Crystal system**: tetragonal

6.
DFT (PBE-GGA) results for a relaxed structure of CaEuBiPt.

Cell: 5.321 5.321 5.321 Å, 60.00 60.00 60.00°
Fractional positions:
Ca 0.000 0.000 0.000
Eu 0.500 0.500 0.500
Bi 0.750 0.750 0.750
Pt 0.250 0.250 0.250

Results
**SG**: F-43m, No. 216
**Spin magnetization**: 6.83 μB per formula unit
**DOS at the Fermi energy**: 3.174 states/eV/atom
**Energy of formation**: -3.0 eV per formula unit
**Crystal system**: cubic